The following is a GGA-PBEsol calculation of YHg2 after structural relaxation, from Alexandria.

Summary:
density = 11.478 g/cm3
final energy = -3.098 eV/atom
total magnetization = 0.00 μB per formula unit
space group = I4_1/amd (141)
ΔE_f = -446 meV per atom

Cell: 4.440 4.440 14.725 Å, 98.67 98.67 90.00°
Atoms (fractional coordinates):
1 Y 0.172 0.672 0.344
2 Y 0.922 0.922 0.844
3 Y 0.328 0.828 0.656
4 Y 0.078 0.078 0.156
5 Hg 0.411 0.411 0.823
6 Hg 0.250 0.250 0.500
7 Hg 0.500 0.000 0.000
8 Hg 0.839 0.339 0.677
9 Hg 0.000 0.500 0.000
10 Hg 0.661 0.161 0.323
11 Hg 0.750 0.750 0.500
12 Hg 0.589 0.589 0.177